# 1
DFT (PBEsol) results for MoOsN2F after structural relaxation.

## Properties
Symmetry: P4/mmm, No. 123
DOS at the Fermi energy in states/eV per cell: 2.9

Cell and atoms, written as POSCAR:
```
MoOsN2F
1.0
3.856 0.000 0.000
0.000 3.856 0.000
0.000 0.000 4.088
Mo N F Os
1 2 1 1
direct
0.500 0.500 0.500 Mo
0.000 0.500 0.000 N
0.500 0.000 0.000 N
0.000 0.000 0.500 F
0.000 0.000 0.000 Os
```

=====

# 2
DFT (PBEsol) results for Nb3SBr7 after structural relaxation.

## Properties
Symmetry: P3m1, No. 156

Cell and atoms, written as POSCAR:
```
Nb3SBr7
1.0
6.401 0.000 0.000
0.000 7.073 0.000
0.000 -3.537 6.125
S Br Nb
1 7 3
direct
0.507 0.667 0.333 S
0.554 0.169 0.338 Br
0.993 0.000 0.000 Br
0.041 0.498 0.502 Br
0.554 0.169 0.831 Br
0.041 0.498 0.995 Br
0.041 0.005 0.502 Br
0.554 0.662 0.831 Br
0.777 0.802 0.198 Nb
0.777 0.395 0.198 Nb
0.777 0.802 0.605 Nb
```

=====

Number 1: final energy -7.78 eV per atom. Number 2: final energy -5.55 eV per atom.